Computed, not measured: an optimized crystal structure of PmErBi2 at the PBE-GGA level of DFT.

Values from the calculation:
Fermi-level density of states: 2.660 states/eV per cell
energy relative to the lowest polymorph listed for this composition: 0.216 eV per atom
magnetic moment: 0.00 μB/atom

Lattice parameters (Å, degrees): 4.147 4.147 6.898 90.00 90.00 90.00
Positions (direct):
Pm 0.000 0.000 0.000
Er 0.000 0.000 0.500
Bi 0.500 0.500 0.254
Bi 0.500 0.500 0.746

Computed, not measured: an optimized crystal structure of PmErBi2 at the PBE-GGA level of DFT.

Values from the calculation:
Fermi-level density of states: 1.765 states/eV per cell
energy relative to the lowest polymorph listed for this composition: 0.077 eV per atom
magnetic moment: 0.00 μB/atom

Lattice parameters (Å, degrees): 4.500 4.500 14.953 90.00 90.00 120.00
Positions (direct):
Pm 0.000 0.000 0.000
Pm 0.000 0.000 0.500
Er 0.333 0.667 0.250
Er 0.667 0.333 0.750
Bi 0.333 0.667 0.627
Bi 0.333 0.667 0.873
Bi 0.667 0.333 0.127
Bi 0.667 0.333 0.373

Computed, not measured: an optimized crystal structure of PmErBi2 at the PBE-GGA level of DFT.

Values from the calculation:
Fermi-level density of states: 0.748 states/eV per cell
energy relative to the lowest polymorph listed for this composition: 0.000 eV per atom
magnetic moment: 0.00 μB/atom

Lattice parameters (Å, degrees): 4.515 4.515 7.812 106.87 106.87 60.08
Positions (direct):
Pm 0.000 0.000 0.000
Er 0.500 0.500 0.500
Bi 0.247 0.247 0.741
Bi 0.753 0.753 0.259

Computed, not measured: an optimized crystal structure of PmEr3Bi2 at the PBE-GGA level of DFT.

Values from the calculation:
Fermi-level density of states: 4.473 states/eV per cell
energy relative to the lowest polymorph listed for this composition: 0.000 eV per atom
magnetic moment: 0.00 μB/atom

Lattice parameters (Å, degrees): 4.568 4.568 8.602 90.00 90.00 90.00
Positions (direct):
Pm 0.000 0.000 0.000
Er 0.000 0.500 0.343
Er 0.500 0.000 0.657
Er 0.500 0.500 0.000
Bi 0.000 0.500 0.710
Bi 0.500 0.000 0.290

Computed, not measured: an optimized crystal structure of Pm3ErBi4 at the PBE-GGA level of DFT.

Values from the calculation:
uncorrected energy: -5.197 eV per atom
Fermi-level density of states: 1.204 states/eV per cell
magnetic moment: 0.00 μB/atom

Lattice parameters (Å, degrees): 7.874 7.874 4.550 90.00 90.00 109.50
Positions (direct):
Pm 0.000 0.000 0.000
Pm 0.000 0.500 0.500
Pm 0.500 0.000 0.500
Er 0.500 0.500 0.000
Bi 0.253 0.747 0.000
Bi 0.256 0.256 0.500
Bi 0.744 0.744 0.500
Bi 0.747 0.253 0.000

Computed, not measured: an optimized crystal structure of Pm3ErBi2 at the PBE-GGA level of DFT.

Values from the calculation:
Fermi-level density of states: 15.375 states/eV per cell
energy relative to the lowest polymorph listed for this composition: 0.245 eV per atom
magnetic moment: 0.09 μB/atom

Lattice parameters (Å, degrees): 9.160 9.160 9.160 134.09 71.86 127.99
Positions (direct):
Pm 0.049 0.750 0.299
Pm 0.250 0.250 0.000
Pm 0.451 0.750 0.701
Pm 0.549 0.250 0.299
Pm 0.750 0.750 0.000
Pm 0.951 0.250 0.701
Er 0.000 0.500 0.500
Er 0.500 0.000 0.500
Bi 0.147 0.167 0.314
Bi 0.353 0.667 0.019
Bi 0.647 0.333 0.981
Bi 0.853 0.833 0.686

Repeat the second record exactly.
Computed, not measured: an optimized crystal structure of PmErBi2 at the PBE-GGA level of DFT.

Values from the calculation:
Fermi-level density of states: 1.765 states/eV per cell
energy relative to the lowest polymorph listed for this composition: 0.077 eV per atom
magnetic moment: 0.00 μB/atom

Lattice parameters (Å, degrees): 4.500 4.500 14.953 90.00 90.00 120.00
Positions (direct):
Pm 0.000 0.000 0.000
Pm 0.000 0.000 0.500
Er 0.333 0.667 0.250
Er 0.667 0.333 0.750
Bi 0.333 0.667 0.627
Bi 0.333 0.667 0.873
Bi 0.667 0.333 0.127
Bi 0.667 0.333 0.373